(1)
{
  "formula": "CaTh2Tc",
  "functional": "PBE-GGA",
  "state": "optimized geometry",
  "crystal_system": "tetragonal",
  "magmom_total_mub_per_cell": 0.00,
  "volume_a3_per_atom": 30.4,
  "final_energy_ev_per_atom": -6.767,
  "ef_ev_per_atom": 0.03,
  "space_group": "P4/mmm, No. 123",
  "lattice": [[3.507, 0.000, 0.000], [0.000, 3.507, 0.000], [0.000, 0.000, 9.877]],
  "species": ["Ca", "Th", "Th", "Tc"],
  "fractional_positions": [[0.000, 0.000, 0.000], [0.500, 0.500, 0.322], [0.500, 0.500, 0.678], [0.000, 0.000, 0.500]]
}

---

(2)
{
  "formula": "CaTh2Tc",
  "functional": "PBE-GGA",
  "state": "optimized geometry",
  "crystal_system": "trigonal",
  "magmom_total_mub_per_cell": 0.00,
  "volume_a3_per_atom": 37.1,
  "final_energy_ev_per_atom": -6.622,
  "ef_ev_per_atom": 0.18,
  "space_group": "R-3m, No. 166",
  "lattice": [[2.007, 1.159, 10.642], [-2.007, 1.159, 10.642], [0.000, -2.317, 10.642]],
  "species": ["Ca", "Th", "Th", "Tc"],
  "fractional_positions": [[0.000, 0.000, 0.000], [0.118, 0.118, 0.118], [0.882, 0.882, 0.882], [0.500, 0.500, 0.500]]
}

---

(3)
{
  "formula": "CaTi3Tc",
  "functional": "PBE-GGA",
  "state": "optimized geometry",
  "crystal_system": "cubic",
  "magmom_total_mub_per_cell": 1.83,
  "volume_a3_per_atom": 22.6,
  "final_energy_ev_per_atom": -6.882,
  "ef_ev_per_atom": 0.33,
  "space_group": "Pm-3m, No. 221",
  "lattice": [[4.831, 0.000, 0.000], [0.000, 4.831, 0.000], [0.000, 0.000, 4.831]],
  "species": ["Ca", "Ti", "Ti", "Ti", "Tc"],
  "fractional_positions": [[0.000, 0.000, 0.000], [0.000, 0.500, 0.500], [0.500, 0.000, 0.500], [0.500, 0.500, 0.000], [0.500, 0.500, 0.500]]
}

---

(4)
{
  "formula": "CaTi2Tc2",
  "functional": "PBE-GGA",
  "state": "optimized geometry",
  "crystal_system": "tetragonal",
  "magmom_total_mub_per_cell": 0.00,
  "volume_a3_per_atom": 18.0,
  "final_energy_ev_per_atom": -7.678,
  "ef_ev_per_atom": 0.03,
  "space_group": "P4/mbm, No. 127",
  "lattice": [[7.704, 0.000, 0.000], [0.000, 7.704, 0.000], [0.000, 0.000, 3.031]],
  "species": ["Ca", "Ca", "Ti", "Ti", "Ti", "Ti", "Tc", "Tc", "Tc", "Tc"],
  "fractional_positions": [[0.000, 0.000, 0.000], [0.500, 0.500, 0.000], [0.139, 0.361, 0.500], [0.361, 0.861, 0.500], [0.639, 0.139, 0.500], [0.861, 0.639, 0.500], [0.145, 0.645, 0.000], [0.355, 0.145, 0.000], [0.645, 0.855, 0.000], [0.855, 0.355, 0.000]]
}